[1]
Below is a geometry-optimized Dy5MgGa4 structure, with properties calculated at the PBE-GGA level.

a b c (Å): 3.6045 3.6045 18.1806
angles (deg): 90.00 90.00 90.00
Last column: nearest neighbours and their distance in Å.
Sites, in units of the cell vectors:
Dy  0.5000  0.5000  0.5000  8 Ga 3.10
Dy  0.5000  0.5000  0.6946  8 Ga 3.11-3.13
Dy  0.5000  0.5000  0.1119  4 Ga 3.06, 4 Mg 3.26
Ga  0.0000  0.0000  0.2054  8 Dy 3.06-3.13
Ga  0.0000  0.0000  0.5970  8 Dy 3.10-3.11
Ga  0.0000  0.0000  0.7946  8 Dy 3.06-3.13
Dy  0.5000  0.5000  0.3054  8 Ga 3.11-3.13
Ga  0.0000  0.0000  0.4030  8 Dy 3.10-3.11
Mg  0.0000  0.0000  0.0000  8 Dy 3.26, 4 Mg 3.60
Dy  0.5000  0.5000  0.8881  4 Ga 3.06, 4 Mg 3.26

Summary:
DFT total energy (eV/atom): -4.16

***

[2]
Below is a geometry-optimized Sr2ZrTl structure, with properties calculated at the PBE-GGA level.

a b c (Å): 4.9279 4.9279 5.2506
angles (deg): 90.00 90.00 90.00
Last column: nearest neighbours and their distance in Å.
Sites, in units of the cell vectors:
Tl  0.5000  0.0000  0.5000  4 Zr 3.48, 8 Sr 3.60
Sr  0.5000  0.5000  0.0000  4 Sr 3.48, 4 Zr 3.60, 4 Tl 3.60
Sr  0.0000  0.0000  0.0000  4 Sr 3.48, 4 Tl 3.60, 4 Zr 3.60
Zr  0.0000  0.5000  0.5000  4 Tl 3.48, 8 Sr 3.60

Summary:
DFT total energy (eV/atom): -3.32
Energy above the lowest structure with this stoichiometry (meV/atom): 127

***

[3]
Below is a geometry-optimized HoTh5Tl4 structure, with properties calculated at the PBE-GGA level.

a b c (Å): 3.6149 10.0228 8.8916
angles (deg): 82.72 101.73 90.00
Last column: nearest neighbours and their distance in Å.
Sites, in units of the cell vectors:
Th  0.5000  0.5000  0.0000  4 Tl 3.24, 2 Th 3.61
Tl  0.3208  0.9184  0.6415  6 Tl 3.28-3.61, 1 Ho 3.33, 3 Th 3.42-3.67
Th  0.1860  0.3987  0.3720  3 Tl 3.29-3.67, 6 Th 3.55-3.68
Tl  0.0358  0.2305  0.0716  2 Ho 3.06, 4 Th 3.24-3.31, 2 Tl 3.28
Th  0.8140  0.6013  0.6280  3 Tl 3.29-3.67, 6 Th 3.55-3.68
Th  0.1545  0.7704  0.3090  4 Tl 3.31-3.68, 5 Th 3.55-3.69
Tl  0.9642  0.7695  0.9284  2 Ho 3.06, 4 Th 3.24-3.31, 2 Tl 3.28
Tl  0.6792  0.0816  0.3585  6 Tl 3.28-3.61, 1 Ho 3.33, 3 Th 3.42-3.67
Ho  0.5000  0.0000  0.0000  6 Tl 3.06-3.33
Th  0.8455  0.2296  0.6910  4 Tl 3.31-3.68, 5 Th 3.55-3.69

Summary:
DFT total energy (eV/atom): -5.07

***

[4]
Below is a geometry-optimized CaMg3Pd structure, with properties calculated at the PBE-GGA level.

a b c (Å): 5.8211 5.8211 5.8211
angles (deg): 90.00 90.00 90.00
Last column: nearest neighbours and their distance in Å.
Sites, in units of the cell vectors:
Mg  0.5000  0.0000  0.0000  2 Ca 2.91
Pd  0.5000  0.5000  0.5000  12 Mg 4.12
Mg  0.0000  0.5000  0.0000  2 Ca 2.91
Mg  0.0000  0.0000  0.5000  2 Ca 2.91
Ca  0.0000  0.0000  0.0000  6 Mg 2.91

Summary:
DFT total energy (eV/atom): -1.20
Energy above the lowest structure with this stoichiometry (meV/atom): 1596

***

[5]
Below is a geometry-optimized Os2Rh2O structure, with properties calculated at the PBE-GGA level.

a b c (Å): 3.5496 3.5496 6.6224
angles (deg): 74.45 74.45 90.00
Last column: nearest neighbours and their distance in Å.
Sites, in units of the cell vectors:
Rh  0.2500  0.7500  0.5000  4 Rh 2.51, 4 Os 2.57
Rh  0.7500  0.2500  0.5000  4 Rh 2.51, 4 Os 2.57
Os  0.5980  0.5980  0.8040  1 Os 2.40, 4 Rh 2.57
Os  0.4020  0.4020  0.1960  1 Os 2.40, 4 Rh 2.57
O  0.0000  0.0000  0.0000  8 Os 2.78

Summary:
ΔE_f (raw) (eV per atom): 1.109
DFT total energy (eV/atom): -7.32
Energy above the lowest structure with this stoichiometry (meV/atom): 624

***

[6]
Below is a geometry-optimized K2YTc structure, with properties calculated at the PBE-GGA level.

a b c (Å): 3.1727 6.4126 5.8730
angles (deg): 90.00 90.00 90.00
Last column: nearest neighbours and their distance in Å.
Sites, in units of the cell vectors:
Y  0.5000  0.5000  0.7500  2 Tc 2.94, 2 Y 3.17
K  0.0000  0.0000  0.4882  2 K 2.80-3.08
Tc  0.5000  0.5000  0.2500  2 Y 2.94, 2 Tc 3.17
K  0.0000  0.0000  0.0118  2 K 2.80-3.08

Summary:
DFT total energy (eV/atom): -3.55
Energy above the lowest structure with this stoichiometry (meV/atom): 604

***

[7]
Below is a geometry-optimized AcTl2InI6 structure, with properties calculated at the PBE-GGA level.

a b c (Å): 8.4323 9.3137 12.2657
angles (deg): 90.00 85.64 90.00
Last column: nearest neighbours and their distance in Å.
Sites, in units of the cell vectors:
I  0.3337  0.7066  0.4131  1 Ac 3.29, 1 In 3.51, 1 Tl 3.62
Ac  0.0000  0.5000  0.0000  6 I 3.27-3.29
I  0.3434  0.9361  0.7474  1 Ac 3.27, 1 In 3.51, 2 Tl 3.54-3.58
I  0.8434  0.5639  0.2474  1 Ac 3.27, 1 In 3.51, 2 Tl 3.54-3.58
I  0.1566  0.4361  0.7526  1 Ac 3.27, 1 In 3.51, 2 Tl 3.54-3.58
I  0.8337  0.7934  0.9131  1 Ac 3.29, 1 In 3.51, 1 Tl 3.62
In  0.5000  0.0000  0.0000  6 I 3.43-3.51
I  0.6566  0.0639  0.2526  1 Ac 3.27, 1 In 3.51, 2 Tl 3.54-3.58
Tl  0.5317  0.5956  0.7808  6 I 3.51-3.80
Tl  0.0317  0.9044  0.2808  6 I 3.51-3.80
I  0.6774  0.3270  0.9477  1 Ac 3.27, 1 In 3.43, 1 Tl 3.51
Tl  0.4683  0.4044  0.2192  6 I 3.51-3.80
Tl  0.9683  0.0956  0.7192  6 I 3.51-3.80
I  0.1663  0.2066  0.0869  1 Ac 3.29, 1 In 3.51, 1 Tl 3.62
I  0.8226  0.8270  0.5523  1 Ac 3.27, 1 In 3.43, 1 Tl 3.51
In  0.0000  0.5000  0.5000  6 I 3.43-3.51
I  0.1774  0.1730  0.4477  1 Ac 3.27, 1 In 3.43, 1 Tl 3.51
I  0.3226  0.6730  0.0523  1 Ac 3.27, 1 In 3.43, 1 Tl 3.51
Ac  0.5000  0.0000  0.5000  6 I 3.27-3.29
I  0.6663  0.2934  0.5869  1 Ac 3.29, 1 In 3.51, 1 Tl 3.62

Summary:
ΔE_f (raw) (eV per atom): -0.968
DFT total energy (eV/atom): -3.06

***

[8]
Below is a geometry-optimized Ni5Hg3Br12 structure, with properties calculated at the PBE-GGA level.

a b c (Å): 14.0455 14.0455 14.0455
angles (deg): 109.47 109.47 109.47
Last column: nearest neighbours and their distance in Å.
Sites, in units of the cell vectors:
Hg  0.8750  0.7500  0.1250  4 Br 2.99
Ni  0.0000  0.0000  0.0000  6 Br 2.55
Br  0.6135  0.9890  0.6763  2 Ni 2.36-2.55
Br  0.3237  0.8127  0.4372  2 Ni 2.36-2.55
Br  0.9890  0.3755  0.3127  2 Ni 2.36-2.55
Ni  0.8750  0.6250  0.7500  4 Br 2.36
Br  0.6763  0.4890  0.6135  2 Ni 2.36-2.55
Ni  0.1250  0.7500  0.3750  4 Br 2.36
Br  0.6873  0.5628  0.1763  2 Ni 2.36-2.55
Br  0.0628  0.1763  0.1873  2 Ni 2.36-2.55
Ni  0.8750  0.2500  0.6250  4 Br 2.36
Hg  0.2500  0.1250  0.3750  4 Br 2.99
Ni  0.6250  0.7500  0.8750  4 Br 2.36
Br  0.5110  0.1873  0.1245  2 Ni 2.36-2.55
Br  0.0110  0.3865  0.8237  2 Ni 2.36-2.55
Br  0.6135  0.6245  0.4372  2 Ni 2.36-2.55
Ni  0.5000  0.0000  0.5000  6 Br 2.55
Hg  0.3750  0.6250  0.2500  4 Br 2.99
Br  0.8127  0.3237  0.9372  2 Ni 2.36-2.55
Br  0.0628  0.8865  0.3755  2 Ni 2.36-2.55
Br  0.3865  0.3755  0.5628  2 Ni 2.36-2.55
Br  0.3865  0.0110  0.3237  2 Ni 2.36-2.55
Br  0.3127  0.8755  0.9890  2 Ni 2.36-2.55
Br  0.6245  0.6135  0.9372  2 Ni 2.36-2.55
Ni  0.5000  0.5000  0.0000  6 Br 2.55
Br  0.8755  0.3127  0.4890  2 Ni 2.36-2.55
Br  0.1135  0.9372  0.1245  2 Ni 2.36-2.55
Hg  0.1250  0.8750  0.7500  4 Br 2.99
Ni  0.0000  0.0000  0.5000  6 Br 2.55
Br  0.6873  0.1245  0.0110  2 Ni 2.36-2.55
Ni  0.5000  0.5000  0.5000  6 Br 2.55
Br  0.6245  0.0110  0.1873  2 Ni 2.36-2.55
Ni  0.7500  0.6250  0.3750  4 Br 2.36
Br  0.1763  0.0628  0.6873  2 Ni 2.36-2.55
Ni  0.2500  0.3750  0.6250  4 Br 2.36
Ni  0.6250  0.8750  0.2500  4 Br 2.36
Hg  0.6250  0.3750  0.7500  4 Br 2.99
Hg  0.8750  0.1250  0.2500  4 Br 2.99
Br  0.1873  0.5110  0.6245  2 Ni 2.36-2.55
Ni  0.3750  0.2500  0.1250  4 Br 2.36
Br  0.5628  0.6873  0.6763  2 Ni 2.36-2.55
Br  0.4372  0.3127  0.3237  2 Ni 2.36-2.55
Ni  0.0000  0.5000  0.5000  6 Br 2.55
Ni  0.5000  0.0000  0.0000  6 Br 2.55
Hg  0.7500  0.8750  0.6250  4 Br 2.99
Hg  0.7500  0.3750  0.1250  4 Br 2.99
Br  0.5110  0.3237  0.8865  2 Ni 2.36-2.55
Br  0.1135  0.1763  0.4890  2 Ni 2.36-2.55
Ni  0.1250  0.3750  0.2500  4 Br 2.36
Ni  0.0000  0.5000  0.0000  6 Br 2.55
Ni  0.7500  0.1250  0.8750  4 Br 2.36
Br  0.3755  0.3865  0.0628  2 Ni 2.36-2.55
Br  0.0110  0.6245  0.6873  2 Ni 2.36-2.55
Br  0.9372  0.1135  0.6245  2 Ni 2.36-2.55
Br  0.9890  0.6135  0.1763  2 Ni 2.36-2.55
Br  0.8237  0.9372  0.3127  2 Ni 2.36-2.55
Br  0.1245  0.4372  0.1135  2 Ni 2.36-2.55
Br  0.4372  0.1245  0.6135  2 Ni 2.36-2.55
Br  0.8865  0.0628  0.8755  2 Ni 2.36-2.55
Br  0.1763  0.1135  0.9890  2 Ni 2.36-2.55
Br  0.4890  0.6763  0.1135  2 Ni 2.36-2.55
Br  0.8865  0.8237  0.5110  2 Ni 2.36-2.55
Hg  0.2500  0.6250  0.8750  4 Br 2.99
Br  0.9372  0.8237  0.8127  2 Ni 2.36-2.55
Br  0.8127  0.4890  0.3755  2 Ni 2.36-2.55
Br  0.8237  0.8865  0.0110  2 Ni 2.36-2.55
Br  0.5628  0.8755  0.3865  2 Ni 2.36-2.55
Br  0.3127  0.4372  0.8237  2 Ni 2.36-2.55
Br  0.1873  0.6763  0.0628  2 Ni 2.36-2.55
Br  0.1245  0.6873  0.5110  2 Ni 2.36-2.55
Br  0.4890  0.8127  0.8755  2 Ni 2.36-2.55
Hg  0.3750  0.7500  0.6250  4 Br 2.99
Ni  0.3750  0.1250  0.7500  4 Br 2.36
Ni  0.2500  0.8750  0.1250  4 Br 2.36
Br  0.3755  0.9890  0.8127  2 Ni 2.36-2.55
Br  0.8755  0.5628  0.8865  2 Ni 2.36-2.55
Br  0.6763  0.1873  0.5628  2 Ni 2.36-2.55
Br  0.3237  0.5110  0.3865  2 Ni 2.36-2.55
Hg  0.1250  0.2500  0.8750  4 Br 2.99
Hg  0.6250  0.2500  0.3750  4 Br 2.99

Summary:
ΔE_f (raw) (eV per atom): -0.191
DFT total energy (eV/atom): -2.69

***

[9]
Below is a geometry-optimized CeTm2Te structure, with properties calculated at the PBE-GGA level.

a b c (Å): 3.7661 3.7664 10.0472
angles (deg): 90.01 90.01 60.01
Last column: nearest neighbours and their distance in Å.
Sites, in units of the cell vectors:
Ce  0.6297  0.0327  0.4497  6 Tm 3.59-3.60, 6 Ce 3.77
Tm  0.2967  0.6988  0.1647  3 Te 3.07
Tm  0.2963  0.6988  0.7346  3 Te 3.07
Te  0.6298  0.0321  0.9497  6 Tm 3.07

Summary:
ΔE_f (raw) (eV per atom): -0.417
DFT total energy (eV/atom): -4.92
Energy above the lowest structure with this stoichiometry (meV/atom): 76

***

[10]
Below is a geometry-optimized La4Dy2Y3 structure, with properties calculated at the PBE-GGA level.

a b c (Å): 3.6838 6.7945 14.7290
angles (deg): 64.27 90.00 105.73
Last column: nearest neighbours and their distance in Å.
Sites, in units of the cell vectors:
La  0.8859  0.7719  0.3936  5 Y 3.51-3.69, 2 Dy 3.57, 2 La 3.68
La  0.1141  0.2281  0.6064  5 Y 3.51-3.69, 2 Dy 3.57, 2 La 3.68
Y  0.3826  0.7651  0.6124  3 Y 3.35-3.68, 2 Dy 3.43, 6 La 3.51-3.69
Dy  0.3374  0.6748  0.2088  4 Y 3.39-3.43, 5 La 3.57-3.69, 2 Dy 3.68
Dy  0.6626  0.3252  0.7912  4 Y 3.39-3.43, 5 La 3.57-3.69, 2 Dy 3.68
La  0.6480  0.2960  0.1280  3 Y 3.66-3.74, 3 Dy 3.68-3.69, 4 La 3.68-3.96
Y  0.0000  0.0000  0.0000  4 Dy 3.39, 2 Y 3.68, 4 La 3.74
Y  0.6174  0.2349  0.3876  3 Y 3.35-3.68, 2 Dy 3.43, 6 La 3.51-3.69
La  0.3520  0.7040  0.8720  3 Y 3.66-3.74, 3 Dy 3.68-3.69, 4 La 3.68-3.96

Summary:
DFT total energy (eV/atom): -5.28
Energy above the lowest structure with this stoichiometry (meV/atom): 58

***

[11]
Below is a geometry-optimized ScFeBr structure, with properties calculated at the PBE-GGA level.

a b c (Å): 6.5841 6.5473 3.2346
angles (deg): 76.37 75.11 28.52
Last column: nearest neighbours and their distance in Å.
Sites, in units of the cell vectors:
Fe  0.6972  0.6972  0.3028  4 Sc 2.75-2.83
Sc  0.3272  0.3272  0.6728  4 Fe 2.75-2.83, 4 Br 2.89-2.97
Br  0.9756  0.9756  0.0244  4 Sc 2.89-2.97

Summary:
ΔE_f (raw) (eV per atom): -0.062
DFT total energy (eV/atom): -5.55

***

[12]
Below is a geometry-optimized Tb3Nd2Se6 structure, with properties calculated at the PBE-GGA level.

a b c (Å): 7.1706 7.1459 7.1885
angles (deg): 80.44 70.66 59.89
Last column: nearest neighbours and their distance in Å.
Sites, in units of the cell vectors:
Se  0.0864  0.3279  0.7577  3 Tb 2.88-2.94, 2 Nd 2.98
Tb  0.3346  0.3307  0.0000  6 Se 2.88-2.94
Nd  0.1652  0.6697  0.5000  6 Se 2.95-2.98
Tb  0.6654  0.6693  0.0000  6 Se 2.88-2.94
Se  0.2588  0.0000  0.2462  3 Tb 2.88-2.96, 2 Nd 2.95
Se  0.5857  0.3279  0.2423  3 Tb 2.88-2.94, 2 Nd 2.98
Nd  0.8348  0.3303  0.5000  6 Se 2.95-2.98
Tb  0.0000  0.0000  0.0000  6 Se 2.88-2.96
Se  0.7412  0.0000  0.7538  3 Tb 2.88-2.96, 2 Nd 2.95
Se  0.9136  0.6721  0.2423  3 Tb 2.88-2.94, 2 Nd 2.98
Se  0.4143  0.6721  0.7577  3 Tb 2.88-2.94, 2 Nd 2.98

Summary:
ΔE_f (raw) (eV per atom): -1.883
DFT total energy (eV/atom): -5.91

***

no.,magnetization (μB per formula unit)
1,0.000
2,0.994
3,0.000
4,0.000
5,0.000
6,0.480
7,0.000
8,0.614
9,1.773
10,0.000
11,2.012
12,0.000